1) Material: ZrNbTc
Method: DFT, GGA-PBE
State: optimized geometry

```
data_ZrNbTc
_chemical_formula_sum 'Zr2 Nb2 Tc2'
_cell_length_a 7.481
_cell_length_b 7.481
_cell_length_c 7.481
_cell_angle_alpha 34.32
_cell_angle_beta 34.32
_cell_angle_gamma 34.32
_space_group_name_H-M_alt 'P 1'
_space_group_IT_number 1
_space_group_name_Hall 'P 1'
loop_
_atom_site_label
_atom_site_fract_x
_atom_site_fract_y
_atom_site_fract_z
_atom_site_occupancy
Zr1 0.211 0.211 0.211 1
Zr2 0.789 0.789 0.789 1
Nb1 0.365 0.365 0.365 1
Nb2 0.635 0.635 0.635 1
Tc1 0.066 0.066 0.066 1
Tc2 0.934 0.934 0.934 1
```

Calculated values
The density comes out at 7.89 g/cm³.

2) Material: ZrNbTc
Method: DFT, GGA-PBE
State: optimized geometry

```
data_ZrNbTc
_chemical_formula_sum 'Zr4 Nb4 Tc4'
_cell_length_a 4.728
_cell_length_b 3.283
_cell_length_c 14.028
_cell_angle_alpha 90.00
_cell_angle_beta 90.00
_cell_angle_gamma 90.00
_space_group_name_H-M_alt 'P 1'
_space_group_IT_number 1
_space_group_name_Hall 'P 1'
loop_
_atom_site_label
_atom_site_fract_x
_atom_site_fract_y
_atom_site_fract_z
_atom_site_occupancy
Zr1 0.000 0.000 0.000 1
Zr2 0.000 0.500 0.500 1
Zr3 0.500 0.000 0.165 1
Zr4 0.500 0.500 0.665 1
Nb1 0.000 0.000 0.320 1
Nb2 0.000 0.500 0.820 1
Nb3 0.500 0.000 0.478 1
Nb4 0.500 0.500 0.978 1
Tc1 0.000 0.000 0.667 1
Tc2 0.000 0.500 0.167 1
Tc3 0.500 0.000 0.829 1
Tc4 0.500 0.500 0.329 1
```

Calculated values
The density comes out at 8.61 g/cm³.

3) Material: ZrNbTc
Method: DFT, GGA-PBE
State: optimized geometry

```
data_ZrNbTc
_chemical_formula_sum 'Zr4 Nb4 Tc4'
_cell_length_a 5.385
_cell_length_b 5.589
_cell_length_c 7.503
_cell_angle_alpha 90.00
_cell_angle_beta 90.00
_cell_angle_gamma 90.00
_space_group_name_H-M_alt 'P 1'
_space_group_IT_number 1
_space_group_name_Hall 'P 1'
loop_
_atom_site_label
_atom_site_fract_x
_atom_site_fract_y
_atom_site_fract_z
_atom_site_occupancy
Zr1 0.000 0.250 0.120 1
Zr2 0.000 0.750 0.880 1
Zr3 0.500 0.250 0.380 1
Zr4 0.500 0.750 0.620 1
Nb1 0.000 0.000 0.500 1
Nb2 0.000 0.500 0.500 1
Nb3 0.500 0.000 0.000 1
Nb4 0.500 0.500 0.000 1
Tc1 0.250 0.250 0.750 1
Tc2 0.250 0.750 0.250 1
Tc3 0.750 0.250 0.750 1
Tc4 0.750 0.750 0.250 1
```

Calculated values
The density comes out at 8.30 g/cm³.

4) Material: ZrNbTc
Method: DFT, GGA-PBE
State: optimized geometry

```
data_ZrNbTc
_chemical_formula_sum 'Zr2 Nb2 Tc2'
_cell_length_a 4.461
_cell_length_b 4.461
_cell_length_c 6.328
_cell_angle_alpha 90.00
_cell_angle_beta 90.00
_cell_angle_gamma 90.00
_space_group_name_H-M_alt 'P 1'
_space_group_IT_number 1
_space_group_name_Hall 'P 1'
loop_
_atom_site_label
_atom_site_fract_x
_atom_site_fract_y
_atom_site_fract_z
_atom_site_occupancy
Zr1 0.000 0.000 0.000 1
Zr2 0.500 0.500 0.500 1
Nb1 0.000 0.000 0.500 1
Nb2 0.500 0.500 0.000 1
Tc1 0.000 0.500 0.250 1
Tc2 0.500 0.000 0.750 1
```

Calculated values
The density comes out at 7.44 g/cm³.

Quick one: most stable of them? 3)

1) Material: ZrNb3Tc
Method: DFT, GGA-PBE
State: optimized geometry

```
data_ZrNb3Tc
_chemical_formula_sum 'Zr1 Nb3 Tc1'
_cell_length_a 4.820
_cell_length_b 4.820
_cell_length_c 4.820
_cell_angle_alpha 90.00
_cell_angle_beta 90.00
_cell_angle_gamma 90.00
_space_group_name_H-M_alt 'P 1'
_space_group_IT_number 1
_space_group_name_Hall 'P 1'
loop_
_atom_site_label
_atom_site_fract_x
_atom_site_fract_y
_atom_site_fract_z
_atom_site_occupancy
Zr1 0.000 0.000 0.000 1
Nb1 0.000 0.500 0.500 1
Nb2 0.500 0.000 0.500 1
Nb3 0.500 0.500 0.000 1
Tc1 0.500 0.500 0.500 1
```

Calculated values
The density comes out at 6.94 g/cm³.

2) Material: ZrNb3Tc
Method: DFT, GGA-PBE
State: optimized geometry

```
data_ZrNb3Tc
_chemical_formula_sum 'Zr1 Nb3 Tc1'
_cell_length_a 4.807
_cell_length_b 4.807
_cell_length_c 4.807
_cell_angle_alpha 90.00
_cell_angle_beta 90.00
_cell_angle_gamma 90.00
_space_group_name_H-M_alt 'P 1'
_space_group_IT_number 1
_space_group_name_Hall 'P 1'
loop_
_atom_site_label
_atom_site_fract_x
_atom_site_fract_y
_atom_site_fract_z
_atom_site_occupancy
Zr1 0.000 0.000 0.000 1
Nb1 0.000 0.000 0.500 1
Nb2 0.000 0.500 0.000 1
Nb3 0.500 0.000 0.000 1
Tc1 0.500 0.500 0.500 1
```

Calculated values
The density comes out at 7.00 g/cm³.

Quick one: most stable of them? 1)

1) Material: ZrNb2Tc2
Method: DFT, GGA-PBE
State: optimized geometry

```
data_ZrNb2Tc2
_chemical_formula_sum 'Zr2 Nb4 Tc4'
_cell_length_a 7.568
_cell_length_b 7.568
_cell_length_c 3.161
_cell_angle_alpha 90.00
_cell_angle_beta 90.00
_cell_angle_gamma 90.00
_space_group_name_H-M_alt 'P 1'
_space_group_IT_number 1
_space_group_name_Hall 'P 1'
loop_
_atom_site_label
_atom_site_fract_x
_atom_site_fract_y
_atom_site_fract_z
_atom_site_occupancy
Zr1 0.000 0.000 0.000 1
Zr2 0.500 0.500 0.000 1
Nb1 0.153 0.347 0.500 1
Nb2 0.347 0.847 0.500 1
Nb3 0.653 0.153 0.500 1
Nb4 0.847 0.653 0.500 1
Tc1 0.144 0.644 0.000 1
Tc2 0.356 0.144 0.000 1
Tc3 0.644 0.856 0.000 1
Tc4 0.856 0.356 0.000 1
```

Calculated values
The density comes out at 8.68 g/cm³.

2) Material: ZrNb2Tc2
Method: DFT, GGA-PBE
State: optimized geometry

```
data_ZrNb2Tc2
_chemical_formula_sum 'Zr2 Nb4 Tc4'
_cell_length_a 3.218
_cell_length_b 17.541
_cell_length_c 3.194
_cell_angle_alpha 90.00
_cell_angle_beta 90.00
_cell_angle_gamma 90.00
_space_group_name_H-M_alt 'P 1'
_space_group_IT_number 1
_space_group_name_Hall 'P 1'
loop_
_atom_site_label
_atom_site_fract_x
_atom_site_fract_y
_atom_site_fract_z
_atom_site_occupancy
Zr1 0.000 0.000 0.000 1
Zr2 0.500 0.500 0.000 1
Nb1 0.000 0.183 0.000 1
Nb2 0.000 0.817 0.000 1
Nb3 0.500 0.317 0.000 1
Nb4 0.500 0.683 0.000 1
Tc1 0.000 0.401 0.500 1
Tc2 0.000 0.599 0.500 1
Tc3 0.500 0.099 0.500 1
Tc4 0.500 0.901 0.500 1
```

Calculated values
The density comes out at 8.71 g/cm³.

Quick one: most stable of them? 2)

1) Material: Ti2NbTe6
Method: DFT, GGA-PBE
State: optimized geometry

```
data_Ti2NbTe6
_chemical_formula_sum 'Ti2 Nb1 Te6'
_cell_length_a 9.249
_cell_length_b 9.249
_cell_length_c 8.414
_cell_angle_alpha 112.15
_cell_angle_beta 112.15
_cell_angle_gamma 23.19
_space_group_name_H-M_alt 'P 1'
_space_group_IT_number 1
_space_group_name_Hall 'P 1'
loop_
_atom_site_label
_atom_site_fract_x
_atom_site_fract_y
_atom_site_fract_z
_atom_site_occupancy
Ti1 0.166 0.166 0.331 1
Ti2 0.834 0.834 0.669 1
Nb1 0.500 0.500 0.000 1
Te1 0.002 0.002 0.254 1
Te2 0.331 0.331 0.421 1
Te3 0.334 0.334 0.914 1
Te4 0.666 0.666 0.086 1
Te5 0.669 0.669 0.579 1
Te6 0.998 0.998 0.746 1
```

Calculated values
The density comes out at 6.06 g/cm³.

2) Material: Ti2NbTe6
Method: DFT, GGA-PBE
State: optimized geometry

```
data_Ti2NbTe6
_chemical_formula_sum 'Ti4 Nb2 Te12'
_cell_length_a 6.847
_cell_length_b 7.072
_cell_length_c 11.461
_cell_angle_alpha 90.00
_cell_angle_beta 123.08
_cell_angle_gamma 90.00
_space_group_name_H-M_alt 'P 1'
_space_group_IT_number 1
_space_group_name_Hall 'P 1'
loop_
_atom_site_label
_atom_site_fract_x
_atom_site_fract_y
_atom_site_fract_z
_atom_site_occupancy
Ti1 0.200 0.159 0.248 1
Ti2 0.200 0.341 0.748 1
Ti3 0.800 0.659 0.252 1
Ti4 0.800 0.841 0.752 1
Nb1 0.000 0.000 0.500 1
Nb2 0.000 0.500 0.000 1
Te1 0.090 0.152 0.921 1
Te2 0.090 0.348 0.421 1
Te3 0.269 0.677 0.918 1
Te4 0.269 0.823 0.418 1
Te5 0.426 0.019 0.754 1
Te6 0.426 0.481 0.254 1
Te7 0.574 0.519 0.746 1
Te8 0.574 0.981 0.246 1
Te9 0.731 0.177 0.582 1
Te10 0.731 0.323 0.082 1
Te11 0.910 0.652 0.579 1
Te12 0.910 0.848 0.079 1
```

Calculated values
The density comes out at 6.82 g/cm³.

Quick one: most stable of them? 1)

1) Material: TiNb2Te6
Method: DFT, GGA-PBE
State: optimized geometry

```
data_TiNb2Te6
_chemical_formula_sum 'Ti2 Nb4 Te12'
_cell_length_a 6.889
_cell_length_b 7.131
_cell_length_c 11.156
_cell_angle_alpha 90.00
_cell_angle_beta 123.00
_cell_angle_gamma 90.00
_space_group_name_H-M_alt 'P 1'
_space_group_IT_number 1
_space_group_name_Hall 'P 1'
loop_
_atom_site_label
_atom_site_fract_x
_atom_site_fract_y
_atom_site_fract_z
_atom_site_occupancy
Ti1 0.000 0.000 0.000 1
Ti2 0.000 0.500 0.500 1
Nb1 0.206 0.152 0.747 1
Nb2 0.206 0.348 0.247 1
Nb3 0.794 0.652 0.753 1
Nb4 0.794 0.848 0.253 1
Te1 0.089 0.155 0.425 1
Te2 0.089 0.345 0.925 1
Te3 0.270 0.673 0.421 1
Te4 0.270 0.827 0.921 1
Te5 0.415 0.010 0.255 1
Te6 0.415 0.490 0.755 1
Te7 0.585 0.510 0.245 1
Te8 0.585 0.990 0.745 1
Te9 0.730 0.173 0.079 1
Te10 0.730 0.327 0.579 1
Te11 0.911 0.655 0.075 1
Te12 0.911 0.845 0.575 1
```

Calculated values
The density comes out at 7.22 g/cm³.

2) Material: TiNb2Te6
Method: DFT, GGA-PBE
State: optimized geometry

```
data_TiNb2Te6
_chemical_formula_sum 'Ti1 Nb2 Te6'
_cell_length_a 7.817
_cell_length_b 7.817
_cell_length_c 9.547
_cell_angle_alpha 111.59
_cell_angle_beta 111.59
_cell_angle_gamma 27.34
_space_group_name_H-M_alt 'P 1'
_space_group_IT_number 1
_space_group_name_Hall 'P 1'
loop_
_atom_site_label
_atom_site_fract_x
_atom_site_fract_y
_atom_site_fract_z
_atom_site_occupancy
Ti1 0.000 0.000 0.000 1
Nb1 0.324 0.324 0.648 1
Nb2 0.676 0.676 0.352 1
Te1 0.026 0.026 0.305 1
Te2 0.315 0.315 0.352 1
Te3 0.359 0.359 0.967 1
Te4 0.641 0.641 0.033 1
Te5 0.685 0.685 0.648 1
Te6 0.974 0.974 0.695 1
```

Calculated values
The density comes out at 6.69 g/cm³.

Quick one: most stable of them? 2)

1) Material: TiNb3Te
Method: DFT, GGA-PBE
State: optimized geometry

```
data_TiNb3Te
_chemical_formula_sum 'Ti1 Nb3 Te1'
_cell_length_a 4.778
_cell_length_b 4.778
_cell_length_c 4.778
_cell_angle_alpha 90.00
_cell_angle_beta 90.00
_cell_angle_gamma 90.00
_space_group_name_H-M_alt 'P 1'
_space_group_IT_number 1
_space_group_name_Hall 'P 1'
loop_
_atom_site_label
_atom_site_fract_x
_atom_site_fract_y
_atom_site_fract_z
_atom_site_occupancy
Ti1 0.000 0.000 0.000 1
Nb1 0.000 0.000 0.500 1
Nb2 0.000 0.500 0.000 1
Nb3 0.500 0.000 0.000 1
Te1 0.500 0.500 0.500 1
```

Calculated values
The density comes out at 6.91 g/cm³.

2) Material: TiNb3Te
Method: DFT, GGA-PBE
State: optimized geometry

```
data_TiNb3Te
_chemical_formula_sum 'Ti1 Nb3 Te1'
_cell_length_a 4.986
_cell_length_b 4.986
_cell_length_c 4.986
_cell_angle_alpha 90.00
_cell_angle_beta 90.00
_cell_angle_gamma 90.00
_space_group_name_H-M_alt 'P 1'
_space_group_IT_number 1
_space_group_name_Hall 'P 1'
loop_
_atom_site_label
_atom_site_fract_x
_atom_site_fract_y
_atom_site_fract_z
_atom_site_occupancy
Ti1 0.000 0.000 0.000 1
Nb1 0.000 0.500 0.500 1
Nb2 0.500 0.000 0.500 1
Nb3 0.500 0.500 0.000 1
Te1 0.500 0.500 0.500 1
```

Calculated values
The density comes out at 6.08 g/cm³.

Quick one: most stable of them? 1)